Record 1
Below is an optimized crystal structure of DyAlGaAg, with properties calculated at the PBE-GGA level.

Cell and atoms, written as CIF:
```
data_DyAlGaAg
_space_group_name_H-M_alt 'P 1'
_space_group_IT_number 1
_cell_length_a 6.8306
_cell_length_b 6.8306
_cell_length_c 6.8306
_cell_angle_alpha 90.00
_cell_angle_beta 90.00
_cell_angle_gamma 90.00
loop_
_space_group_symop_operation_xyz
'x,y,z'
loop_
_atom_site_label
_atom_site_fract_x
_atom_site_fract_y
_atom_site_fract_z
Dy1 0.0000 0.0000 0.0000
Dy2 0.0000 0.5000 0.5000
Dy3 0.5000 0.0000 0.5000
Dy4 0.5000 0.5000 0.0000
Al1 0.0000 0.0000 0.5000
Al2 0.0000 0.5000 0.0000
Al3 0.5000 0.0000 0.0000
Al4 0.5000 0.5000 0.5000
Ga1 0.2500 0.2500 0.7500
Ga2 0.2500 0.7500 0.2500
Ga3 0.7500 0.2500 0.2500
Ga4 0.7500 0.7500 0.7500
Ag1 0.2500 0.2500 0.2500
Ag2 0.2500 0.7500 0.7500
Ag3 0.7500 0.2500 0.7500
Ag4 0.7500 0.7500 0.2500
```

Calculated values
* E_tot: -3.8859 eV per atom
* N(E_F): 3.5 states/eV/cell
* calculated formation energy: -0.33 eV/atom

---

Record 2
Below is an optimized crystal structure of Dy4AlGaAg2, with properties calculated at the PBE-GGA level.

Cell and atoms, written as CIF:
```
data_Dy4AlGaAg2
_space_group_name_H-M_alt 'P 1'
_space_group_IT_number 1
_cell_length_a 8.8818
_cell_length_b 8.8818
_cell_length_c 8.8818
_cell_angle_alpha 33.60
_cell_angle_beta 33.60
_cell_angle_gamma 33.60
loop_
_space_group_symop_operation_xyz
'x,y,z'
loop_
_atom_site_label
_atom_site_fract_x
_atom_site_fract_y
_atom_site_fract_z
Dy1 0.1232 0.1232 0.1232
Dy2 0.3736 0.3736 0.3736
Dy3 0.6264 0.6264 0.6264
Dy4 0.8768 0.8768 0.8768
Al1 0.5000 0.5000 0.5000
Ga1 0.0000 0.0000 0.0000
Ag1 0.2457 0.2457 0.2457
Ag2 0.7543 0.7543 0.7543
```

Calculated values
* E_tot: -4.2645 eV per atom
* N(E_F): 5.8 states/eV/cell
* calculated formation energy: -0.40 eV/atom

---

Record 3
Below is an optimized crystal structure of DyAlGa2Ag, with properties calculated at the PBE-GGA level.

Cell and atoms, written as CIF:
```
data_DyAlGa2Ag
_space_group_name_H-M_alt 'P 1'
_space_group_IT_number 1
_cell_length_a 4.1539
_cell_length_b 4.1539
_cell_length_c 11.1699
_cell_angle_alpha 90.00
_cell_angle_beta 90.00
_cell_angle_gamma 90.00
loop_
_space_group_symop_operation_xyz
'x,y,z'
loop_
_atom_site_label
_atom_site_fract_x
_atom_site_fract_y
_atom_site_fract_z
Dy1 0.0000 0.0000 0.0000
Dy2 0.5000 0.5000 0.5000
Al1 0.0000 0.5000 0.2500
Al2 0.5000 0.0000 0.7500
Ga1 0.0000 0.0000 0.3920
Ga2 0.0000 0.0000 0.6080
Ga3 0.5000 0.5000 0.1080
Ga4 0.5000 0.5000 0.8920
Ag1 0.0000 0.5000 0.7500
Ag2 0.5000 0.0000 0.2500
```

Calculated values
* E_tot: -3.8826 eV per atom
* N(E_F): 2.3 states/eV/cell
* calculated formation energy: -0.43 eV/atom

---

Record 4
Below is an optimized crystal structure of GdDyAlAg, with properties calculated at the PBE-GGA level.

Cell and atoms, written as CIF:
```
data_GdDyAlAg
_space_group_name_H-M_alt 'P 1'
_space_group_IT_number 1
_cell_length_a 7.3224
_cell_length_b 7.3224
_cell_length_c 7.3224
_cell_angle_alpha 90.00
_cell_angle_beta 90.00
_cell_angle_gamma 90.00
loop_
_space_group_symop_operation_xyz
'x,y,z'
loop_
_atom_site_label
_atom_site_fract_x
_atom_site_fract_y
_atom_site_fract_z
Gd1 0.0000 0.0000 0.0000
Gd2 0.0000 0.5000 0.5000
Gd3 0.5000 0.0000 0.5000
Gd4 0.5000 0.5000 0.0000
Dy1 0.0000 0.0000 0.5000
Dy2 0.0000 0.5000 0.0000
Dy3 0.5000 0.0000 0.0000
Dy4 0.5000 0.5000 0.5000
Al1 0.2500 0.2500 0.7500
Al2 0.2500 0.7500 0.2500
Al3 0.7500 0.2500 0.2500
Al4 0.7500 0.7500 0.7500
Ag1 0.2500 0.2500 0.2500
Ag2 0.2500 0.7500 0.7500
Ag3 0.7500 0.2500 0.7500
Ag4 0.7500 0.7500 0.2500
```

Calculated values
* E_tot: -6.6570 eV per atom
* N(E_F): 13.1 states/eV/cell
* calculated formation energy: -0.34 eV/atom

---

Record 5
Below is an optimized crystal structure of DyHfAlAg, with properties calculated at the PBE-GGA level.

Cell and atoms, written as CIF:
```
data_DyHfAlAg
_space_group_name_H-M_alt 'P 1'
_space_group_IT_number 1
_cell_length_a 7.0223
_cell_length_b 7.0223
_cell_length_c 7.0223
_cell_angle_alpha 90.00
_cell_angle_beta 90.00
_cell_angle_gamma 90.00
loop_
_space_group_symop_operation_xyz
'x,y,z'
loop_
_atom_site_label
_atom_site_fract_x
_atom_site_fract_y
_atom_site_fract_z
Dy1 0.0000 0.0000 0.0000
Dy2 0.0000 0.5000 0.5000
Dy3 0.5000 0.0000 0.5000
Dy4 0.5000 0.5000 0.0000
Hf1 0.0000 0.0000 0.5000
Hf2 0.0000 0.5000 0.0000
Hf3 0.5000 0.0000 0.0000
Hf4 0.5000 0.5000 0.5000
Al1 0.2500 0.2500 0.2500
Al2 0.2500 0.7500 0.7500
Al3 0.7500 0.2500 0.7500
Al4 0.7500 0.7500 0.2500
Ag1 0.2500 0.2500 0.7500
Ag2 0.2500 0.7500 0.2500
Ag3 0.7500 0.2500 0.2500
Ag4 0.7500 0.7500 0.7500
```

Calculated values
* E_tot: -5.4351 eV per atom
* N(E_F): 13.6 states/eV/cell
* calculated formation energy: -0.15 eV/atom

---

Record 6
Below is an optimized crystal structure of DyAlAgHg, with properties calculated at the PBE-GGA level.

Cell and atoms, written as CIF:
```
data_DyAlAgHg
_space_group_name_H-M_alt 'P 1'
_space_group_IT_number 1
_cell_length_a 6.9566
_cell_length_b 6.9566
_cell_length_c 6.9566
_cell_angle_alpha 90.00
_cell_angle_beta 90.00
_cell_angle_gamma 90.00
loop_
_space_group_symop_operation_xyz
'x,y,z'
loop_
_atom_site_label
_atom_site_fract_x
_atom_site_fract_y
_atom_site_fract_z
Dy1 0.0000 0.0000 0.0000
Dy2 0.0000 0.5000 0.5000
Dy3 0.5000 0.0000 0.5000
Dy4 0.5000 0.5000 0.0000
Al1 0.0000 0.0000 0.5000
Al2 0.0000 0.5000 0.0000
Al3 0.5000 0.0000 0.0000
Al4 0.5000 0.5000 0.5000
Ag1 0.2500 0.2500 0.7500
Ag2 0.2500 0.7500 0.2500
Ag3 0.7500 0.2500 0.2500
Ag4 0.7500 0.7500 0.7500
Hg1 0.2500 0.2500 0.2500
Hg2 0.2500 0.7500 0.7500
Hg3 0.7500 0.2500 0.7500
Hg4 0.7500 0.7500 0.2500
```

Calculated values
* E_tot: -3.1787 eV per atom
* N(E_F): 8.9 states/eV/cell
* calculated formation energy: -0.30 eV/atom

---

Record 7
Below is an optimized crystal structure of Dy4AlAgHg2, with properties calculated at the PBE-GGA level.

Cell and atoms, written as CIF:
```
data_Dy4AlAgHg2
_space_group_name_H-M_alt 'P 1'
_space_group_IT_number 1
_cell_length_a 9.0229
_cell_length_b 9.0229
_cell_length_c 9.0229
_cell_angle_alpha 33.46
_cell_angle_beta 33.46
_cell_angle_gamma 33.46
loop_
_space_group_symop_operation_xyz
'x,y,z'
loop_
_atom_site_label
_atom_site_fract_x
_atom_site_fract_y
_atom_site_fract_z
Dy1 0.1252 0.1252 0.1252
Dy2 0.3753 0.3753 0.3753
Dy3 0.6247 0.6247 0.6247
Dy4 0.8748 0.8748 0.8748
Al1 0.5000 0.5000 0.5000
Ag1 0.0000 0.0000 0.0000
Hg1 0.2494 0.2494 0.2494
Hg2 0.7506 0.7506 0.7506
```

Calculated values
* E_tot: -3.6035 eV per atom
* N(E_F): 6.6 states/eV/cell
* calculated formation energy: -0.40 eV/atom

---

Record 8
Below is an optimized crystal structure of DyHoAlAg, with properties calculated at the PBE-GGA level.

Cell and atoms, written as CIF:
```
data_DyHoAlAg
_space_group_name_H-M_alt 'P 1'
_space_group_IT_number 1
_cell_length_a 3.5419
_cell_length_b 3.5419
_cell_length_c 7.5408
_cell_angle_alpha 90.00
_cell_angle_beta 90.00
_cell_angle_gamma 90.00
loop_
_space_group_symop_operation_xyz
'x,y,z'
loop_
_atom_site_label
_atom_site_fract_x
_atom_site_fract_y
_atom_site_fract_z
Dy1 0.0000 0.0000 0.0000
Ho1 0.0000 0.0000 0.4998
Al1 0.5000 0.5000 0.7488
Ag1 0.5000 0.5000 0.2537
```

Calculated values
* energy relative to the lowest polymorph listed for this composition: 0 meV/atom
* E_tot: -4.3068 eV per atom
* N(E_F): 2.6 states/eV/cell
* calculated formation energy: -0.36 eV/atom

---

Record 9
Below is an optimized crystal structure of DyHoAlAg, with properties calculated at the PBE-GGA level.

Cell and atoms, written as CIF:
```
data_DyHoAlAg
_space_group_name_H-M_alt 'P 1'
_space_group_IT_number 1
_cell_length_a 7.2725
_cell_length_b 7.2725
_cell_length_c 7.2725
_cell_angle_alpha 90.00
_cell_angle_beta 90.00
_cell_angle_gamma 90.00
loop_
_space_group_symop_operation_xyz
'x,y,z'
loop_
_atom_site_label
_atom_site_fract_x
_atom_site_fract_y
_atom_site_fract_z
Dy1 0.0000 0.0000 0.0000
Dy2 0.0000 0.5000 0.5000
Dy3 0.5000 0.0000 0.5000
Dy4 0.5000 0.5000 0.0000
Ho1 0.0000 0.0000 0.5000
Ho2 0.0000 0.5000 0.0000
Ho3 0.5000 0.0000 0.0000
Ho4 0.5000 0.5000 0.5000
Al1 0.2500 0.2500 0.7500
Al2 0.2500 0.7500 0.2500
Al3 0.7500 0.2500 0.2500
Al4 0.7500 0.7500 0.7500
Ag1 0.2500 0.2500 0.2500
Ag2 0.2500 0.7500 0.7500
Ag3 0.7500 0.2500 0.7500
Ag4 0.7500 0.7500 0.2500
```

Calculated values
* energy relative to the lowest polymorph listed for this composition: 20 meV/atom
* E_tot: -4.2871 eV per atom
* N(E_F): 14.4 states/eV/cell
* calculated formation energy: -0.34 eV/atom

---

Record 10
Below is an optimized crystal structure of DyAlInAg, with properties calculated at the PBE-GGA level.

Cell and atoms, written as CIF:
```
data_DyAlInAg
_space_group_name_H-M_alt 'P 1'
_space_group_IT_number 1
_cell_length_a 7.0350
_cell_length_b 7.0350
_cell_length_c 7.0350
_cell_angle_alpha 90.00
_cell_angle_beta 90.00
_cell_angle_gamma 90.00
loop_
_space_group_symop_operation_xyz
'x,y,z'
loop_
_atom_site_label
_atom_site_fract_x
_atom_site_fract_y
_atom_site_fract_z
Dy1 0.0000 0.0000 0.0000
Dy2 0.0000 0.5000 0.5000
Dy3 0.5000 0.0000 0.5000
Dy4 0.5000 0.5000 0.0000
Al1 0.2500 0.2500 0.7500
Al2 0.2500 0.7500 0.2500
Al3 0.7500 0.2500 0.2500
Al4 0.7500 0.7500 0.7500
In1 0.0000 0.0000 0.5000
In2 0.0000 0.5000 0.0000
In3 0.5000 0.0000 0.0000
In4 0.5000 0.5000 0.5000
Ag1 0.2500 0.2500 0.2500
Ag2 0.2500 0.7500 0.7500
Ag3 0.7500 0.2500 0.7500
Ag4 0.7500 0.7500 0.2500
```

Calculated values
* E_tot: -3.7122 eV per atom
* N(E_F): 4.9 states/eV/cell
* calculated formation energy: -0.23 eV/atom

---

Record 11
Below is an optimized crystal structure of Dy4Al2InAg, with properties calculated at the PBE-GGA level.

Cell and atoms, written as CIF:
```
data_Dy4Al2InAg
_space_group_name_H-M_alt 'P 1'
_space_group_IT_number 1
_cell_length_a 8.9958
_cell_length_b 8.9958
_cell_length_c 8.9958
_cell_angle_alpha 33.40
_cell_angle_beta 33.40
_cell_angle_gamma 33.40
loop_
_space_group_symop_operation_xyz
'x,y,z'
loop_
_atom_site_label
_atom_site_fract_x
_atom_site_fract_y
_atom_site_fract_z
Dy1 0.1221 0.1221 0.1221
Dy2 0.3725 0.3725 0.3725
Dy3 0.6275 0.6275 0.6275
Dy4 0.8779 0.8779 0.8779
Al1 0.2501 0.2501 0.2501
Al2 0.7499 0.7499 0.7499
In1 0.5000 0.5000 0.5000
Ag1 0.0000 0.0000 0.0000
```

Calculated values
* E_tot: -4.3056 eV per atom
* N(E_F): 6.6 states/eV/cell
* calculated formation energy: -0.37 eV/atom

---

Record 12
Below is an optimized crystal structure of LiDyAlAg, with properties calculated at the PBE-GGA level.

Cell and atoms, written as CIF:
```
data_LiDyAlAg
_space_group_name_H-M_alt 'P 1'
_space_group_IT_number 1
_cell_length_a 6.7364
_cell_length_b 6.7364
_cell_length_c 6.7364
_cell_angle_alpha 90.00
_cell_angle_beta 90.00
_cell_angle_gamma 90.00
loop_
_space_group_symop_operation_xyz
'x,y,z'
loop_
_atom_site_label
_atom_site_fract_x
_atom_site_fract_y
_atom_site_fract_z
Li1 0.0000 0.0000 0.0000
Li2 0.0000 0.5000 0.5000
Li3 0.5000 0.0000 0.5000
Li4 0.5000 0.5000 0.0000
Dy1 0.2500 0.2500 0.2500
Dy2 0.2500 0.7500 0.7500
Dy3 0.7500 0.2500 0.7500
Dy4 0.7500 0.7500 0.2500
Al1 0.2500 0.2500 0.7500
Al2 0.2500 0.7500 0.2500
Al3 0.7500 0.2500 0.2500
Al4 0.7500 0.7500 0.7500
Ag1 0.0000 0.0000 0.5000
Ag2 0.0000 0.5000 0.0000
Ag3 0.5000 0.0000 0.0000
Ag4 0.5000 0.5000 0.5000
```

Calculated values
* E_tot: -3.5999 eV per atom
* N(E_F): 2.4 states/eV/cell
* calculated formation energy: -0.32 eV/atom

---

Record 13
Below is an optimized crystal structure of DyMgAlAg, with properties calculated at the PBE-GGA level.

Cell and atoms, written as CIF:
```
data_DyMgAlAg
_space_group_name_H-M_alt 'P 1'
_space_group_IT_number 1
_cell_length_a 6.9718
_cell_length_b 6.9718
_cell_length_c 6.9718
_cell_angle_alpha 90.00
_cell_angle_beta 90.00
_cell_angle_gamma 90.00
loop_
_space_group_symop_operation_xyz
'x,y,z'
loop_
_atom_site_label
_atom_site_fract_x
_atom_site_fract_y
_atom_site_fract_z
Dy1 0.0000 0.0000 0.0000
Dy2 0.0000 0.5000 0.5000
Dy3 0.5000 0.0000 0.5000
Dy4 0.5000 0.5000 0.0000
Mg1 0.0000 0.0000 0.5000
Mg2 0.0000 0.5000 0.0000
Mg3 0.5000 0.0000 0.0000
Mg4 0.5000 0.5000 0.5000
Al1 0.2500 0.2500 0.2500
Al2 0.2500 0.7500 0.7500
Al3 0.7500 0.2500 0.7500
Al4 0.7500 0.7500 0.2500
Ag1 0.2500 0.2500 0.7500
Ag2 0.2500 0.7500 0.2500
Ag3 0.7500 0.2500 0.2500
Ag4 0.7500 0.7500 0.7500
```

Calculated values
* E_tot: -3.4978 eV per atom
* N(E_F): 8.0 states/eV/cell
* calculated formation energy: -0.30 eV/atom

---

| no. | magnetic moment (Bohr magnetons per cell) |
| --- | --- |
| 1 | 0.00 |
| 2 | 0.00 |
| 3 | 0.00 |
| 4 | 30.08 |
| 5 | 2.69 |
| 6 | 0.00 |
| 7 | 0.00 |
| 8 | 0.00 |
| 9 | 0.00 |
| 10 | 0.00 |
| 11 | 0.00 |
| 12 | 0.00 |
| 13 | 0.00 |